No. 1
## SrLaSi2 (PBE)

Data for SrLaSi2 after structural relaxation.

Cell: 5.226 5.226 5.226 Å, 60.00 60.00 60.00°
Sites, in units of the cell vectors:
Sr: 0.000 0.000 0.000
La: 0.250 0.250 0.250
Si: 0.500 0.500 0.500
Si: 0.750 0.750 0.750

Output
**Crystal system**: cubic
**Space-group type**: F-43m, No. 216
**Energy above the lowest structure with this stoichiometry**: 809 meV/atom


No. 2
## NbFe3S (PBE)

Data for NbFe3S after structural relaxation.

Cell: 4.574 4.574 4.574 Å, 90.00 90.00 90.00°
Sites, in units of the cell vectors:
Nb: 0.000 0.000 0.000
Fe: 0.000 0.000 0.500
Fe: 0.000 0.500 0.000
Fe: 0.500 0.000 0.000
S: 0.500 0.500 0.500

Output
**Crystal system**: cubic
**Space-group type**: Pm-3m, No. 221
**Energy above the lowest structure with this stoichiometry**: 1392 meV/atom


No. 3
## PmSmZn2 (PBE)

Data for PmSmZn2 after structural relaxation.

Cell: 5.150 5.150 3.661 Å, 90.00 90.00 90.00°
Sites, in units of the cell vectors:
Pm: 0.000 0.000 0.000
Sm: 0.500 0.500 0.000
Zn: 0.000 0.500 0.500
Zn: 0.500 0.000 0.500

Output
**Crystal system**: tetragonal
**Space-group type**: P4/mmm, No. 123
**Energy of formation from the pure elements**: -0.32 eV per atom


No. 4
## PrSm12Y7 (PBE)

Data for PrSm12Y7 after structural relaxation.

Cell: 8.854 8.854 8.854 Å, 86.66 86.66 86.66°
Sites, in units of the cell vectors:
Pr: 0.000 0.000 0.000
Sm: 0.102 0.346 0.426
Sm: 0.228 0.758 0.353
Sm: 0.242 0.647 0.772
Sm: 0.346 0.426 0.102
Sm: 0.353 0.228 0.758
Sm: 0.426 0.102 0.346
Sm: 0.574 0.898 0.654
Sm: 0.647 0.772 0.242
Sm: 0.654 0.574 0.898
Sm: 0.758 0.353 0.228
Sm: 0.772 0.242 0.647
Sm: 0.898 0.654 0.574
Y: 0.004 0.366 0.878
Y: 0.122 0.996 0.634
Y: 0.366 0.878 0.004
Y: 0.500 0.500 0.500
Y: 0.634 0.122 0.996
Y: 0.878 0.004 0.366
Y: 0.996 0.634 0.122

Output
**Crystal system**: trigonal
**Space-group type**: R-3, No. 148
**Energy of formation from the pure elements**: 0.24 eV per atom
**Energy above the lowest structure with this stoichiometry**: 0 meV/atom


The records above yield V values of 25.24 19.14 24.27 34.53 Å³ per atom, respectively.
The records above yield magnetization values of 0.00 5.43 0.00 0.00 μB/f.u., respectively.